The following is a GGA-PBE calculation of a relaxed structure of Rb3GaH, from Alexandria.

The structure in POSCAR format:
```
Rb3GaH
1.0
5.8419 0.0000 0.0000
0.0000 5.8419 0.0000
0.0000 0.0000 5.8419
Rb Ga H
3 1 1
Direct
0.0000 0.0000 0.5000
0.0000 0.5000 0.0000
0.5000 0.0000 0.0000
0.5000 0.5000 0.5000
0.0000 0.0000 0.0000
```

Results
Its electronic total energy is -1.7574 eV/atom.



The following is a GGA-PBE calculation of a relaxed structure of CsTeS, from Alexandria.

The structure in POSCAR format:
```
CsTeS
1.0
6.0291 0.0000 0.0000
-0.0510 6.9981 0.0000
-0.1501 -2.3885 6.6310
Cs Te S
2 2 2
Direct
0.2477 0.3377 0.1946
0.7523 0.6623 0.8054
0.2357 0.0178 0.5662
0.7643 0.9822 0.4338
0.2485 0.3790 0.7091
0.7515 0.6210 0.2909
```

Results
The distance to the lowest polymorph of the same formula comes out at 0 meV/atom. As for the formation energy from raw total energies: -0.66 eV/atom.



The following is a GGA-PBE calculation of a relaxed structure of Li6Sn6Pb, from Alexandria.

The structure in POSCAR format:
```
Li6Sn6Pb
1.0
6.2414 0.0000 0.0000
-3.1207 5.4053 0.0000
0.0000 0.0000 9.2891
Li Sn Pb
6 6 1
Direct
0.0000 0.0000 0.1719
0.0000 0.0000 0.8281
0.3333 0.6667 0.0000
0.3333 0.6667 0.5000
0.6667 0.3333 0.0000
0.6667 0.3333 0.5000
0.0000 0.5000 0.2549
0.0000 0.5000 0.7451
0.5000 0.0000 0.2549
0.5000 0.0000 0.7451
0.5000 0.5000 0.2549
0.5000 0.5000 0.7451
0.0000 0.0000 0.5000
```

Results
As for the energy of formation: -0.149 eV per atom.



The following is a GGA-PBE calculation of a relaxed structure of TbSmZrAl, from Alexandria.

The structure in POSCAR format:
```
TbSmZrAl
1.0
7.3686 0.0000 0.0000
0.0000 7.3686 0.0000
0.0000 0.0000 7.3686
Tb Sm Zr Al
4 4 4 4
Direct
0.0000 0.0000 0.0000
0.0000 0.5000 0.5000
0.5000 0.0000 0.5000
0.5000 0.5000 0.0000
0.2500 0.2500 0.7500
0.2500 0.7500 0.2500
0.7500 0.2500 0.2500
0.7500 0.7500 0.7500
0.2500 0.2500 0.2500
0.2500 0.7500 0.7500
0.7500 0.2500 0.7500
0.7500 0.7500 0.2500
0.0000 0.0000 0.5000
0.0000 0.5000 0.0000
0.5000 0.0000 0.0000
0.5000 0.5000 0.5000
```

Results
As for the energy of formation: 0.008 eV per atom.



The following is a GGA-PBE calculation of a relaxed structure of YRe2Ru2, from Alexandria.

The structure in POSCAR format:
```
YRe2Ru2
1.0
7.7640 0.0000 0.0000
0.0000 7.7640 0.0000
0.0000 0.0000 2.7975
Y Re Ru
2 4 4
Direct
0.0000 0.0000 0.0000
0.5000 0.5000 0.0000
0.1181 0.3819 0.0000
0.3819 0.8819 0.0000
0.6181 0.1181 0.0000
0.8819 0.6181 0.0000
0.1703 0.6703 0.5000
0.3297 0.1703 0.5000
0.6703 0.8297 0.5000
0.8297 0.3297 0.5000
```

Results
As for the energy of formation: 0.064 eV per atom. The distance to the lowest polymorph of the same formula comes out at 27 meV/atom.



The following is a GGA-PBE calculation of a relaxed structure of SnGe2I, from Alexandria.

The structure in POSCAR format:
```
SnGe2I
1.0
6.1331 0.0000 0.0000
0.0000 6.1331 0.0000
0.0000 0.0000 15.1245
Sn Ge I
4 8 4
Direct
0.0000 0.0000 0.0000
0.0000 0.5000 0.2500
0.5000 0.0000 0.7500
0.5000 0.5000 0.5000
0.2178 0.2500 0.1250
0.2500 0.7178 0.3750
0.2500 0.7822 0.8750
0.2822 0.2500 0.6250
0.7178 0.7500 0.6250
0.7500 0.2178 0.8750
0.7500 0.2822 0.3750
0.7822 0.7500 0.1250
0.0000 0.0000 0.5000
0.0000 0.5000 0.7500
0.5000 0.0000 0.2500
0.5000 0.5000 0.0000
```

Results
The distance to the lowest polymorph of the same formula comes out at 4 meV/atom. As for the formation energy from raw total energies: 0.42 eV/atom.



The following is a GGA-PBE calculation of a relaxed structure of As2RuCl, from Alexandria.

The structure in POSCAR format:
```
As2RuCl
1.0
3.7606 0.0000 0.0000
0.0000 3.8979 0.0000
-1.4671 0.0000 7.0698
As Ru Cl
2 1 1
Direct
0.0000 0.0000 0.0000
0.4934 0.5000 0.9921
0.5876 0.0000 0.2224
0.6880 0.5000 0.4418
```

Results
The distance to the lowest polymorph of the same formula comes out at 175 meV/atom. As for the formation energy from raw total energies: 0.00 eV/atom.



The following is a GGA-PBE calculation of a relaxed structure of Nd3Ho8Sc2, from Alexandria.

The structure in POSCAR format:
```
Nd3Ho8Sc2
1.0
7.2769 -4.5381 0.0000
7.2769 4.5381 0.0000
-2.2398 0.0000 6.4227
Nd Ho Sc
3 8 2
Direct
0.0000 0.0000 0.0000
0.1750 0.8250 0.5000
0.8250 0.1750 0.5000
0.1928 0.1928 0.8988
0.1977 0.5584 0.8098
0.4098 0.4098 0.2717
0.4416 0.8023 0.1902
0.5584 0.1977 0.8098
0.5902 0.5902 0.7283
0.8023 0.4416 0.1902
0.8072 0.8072 0.1012
0.2077 0.2077 0.4240
0.7923 0.7923 0.5760
```

Results
As for the energy of formation: 0.248 eV per atom.



The following is a GGA-PBE calculation of a relaxed structure of NaAc2Ge, from Alexandria.

The structure in POSCAR format:
```
NaAc2Ge
1.0
4.0880 0.0000 0.0000
0.0000 4.0880 0.0000
0.0000 0.0000 8.2328
Na Ac Ge
1 2 1
Direct
0.0000 0.0000 0.0000
0.5000 0.5000 0.2966
0.5000 0.5000 0.7034
0.0000 0.0000 0.5000
```

Results
As for the energy of formation: -0.226 eV per atom.



The following is a GGA-PBE calculation of a relaxed structure of AsOsCl2, from Alexandria.

The structure in POSCAR format:
```
AsOsCl2
1.0
4.1279 0.0000 0.0000
0.0000 4.1279 0.0000
0.0000 0.0000 4.0689
As Os Cl
1 1 2
Direct
0.0000 0.0000 0.0000
0.5000 0.5000 0.0000
0.0000 0.5000 0.5000
0.5000 0.0000 0.5000
```

Results
The distance to the lowest polymorph of the same formula comes out at 1355 meV/atom. As for the formation energy from raw total energies: 1.28 eV/atom.



The following is a GGA-PBE calculation of a relaxed structure of Cs2Hg10Te, from Alexandria.

The structure in POSCAR format:
```
Cs2Hg10Te
1.0
10.6758 0.0000 0.0000
0.0000 16.5652 0.0000
0.0000 0.0000 6.2875
Cs Hg Te
4 20 2
Direct
0.1846 0.0738 0.0000
0.3154 0.5738 0.0000
0.6846 0.4262 0.0000
0.8154 0.9262 0.0000
0.0806 0.6277 0.5000
0.1098 0.1992 0.5000
0.1598 0.8030 0.2477
0.1598 0.8030 0.7523
0.2023 0.4475 0.5000
0.2977 0.9475 0.5000
0.3402 0.3030 0.2477
0.3402 0.3030 0.7523
0.3902 0.6992 0.5000
0.4194 0.1277 0.5000
0.5806 0.8723 0.5000
0.6098 0.3008 0.5000
0.6598 0.6970 0.2477
0.6598 0.6970 0.7523
0.7023 0.0525 0.5000
0.7977 0.5525 0.5000
0.8402 0.1970 0.2477
0.8402 0.1970 0.7523
0.8902 0.8008 0.5000
0.9194 0.3723 0.5000
0.0000 0.0000 0.5000
0.5000 0.5000 0.5000
```

Results
As for the formation energy from raw total energies: -0.20 eV/atom.



The following is a GGA-PBE calculation of a relaxed structure of Nd3AlZn3, from Alexandria.

The structure in POSCAR format:
```
Nd3AlZn3
1.0
5.3277 -2.2902 0.0000
5.3277 2.2902 0.0000
-5.1057 0.0000 14.0034
Nd Al Zn
6 2 6
Direct
0.0432 0.0432 0.3854
0.1048 0.1048 0.9223
0.2624 0.2624 0.2285
0.7376 0.7376 0.7715
0.8952 0.8952 0.0777
0.9568 0.9568 0.6146
0.2491 0.2491 0.6037
0.7509 0.7509 0.3963
0.3691 0.3691 0.4608
0.3958 0.3958 0.9236
0.4446 0.4446 0.7659
0.5554 0.5554 0.2341
0.6042 0.6042 0.0764
0.6309 0.6309 0.5392
```

Results
As for the energy of formation: -0.319 eV per atom.



| no. | N(E_F) (states/eV/atom) |
| --- | --- |
| 1 | 0.68 |
| 2 | 0.11 |
| 3 | 0.46 |
| 4 | 1.81 |
| 5 | 0.95 |
| 6 | 0.31 |
| 7 | 0.49 |
| 8 | 1.24 |
| 9 | 0.76 |
| 10 | 0.76 |
| 11 | 0.02 |
| 12 | 0.84 |